! Sr2CaMo (PBE, relaxed); values from VASP
&SYSTEM
  ibrav = 0, nat = 4, ntyp = 3
/
ATOMIC_SPECIES
Sr 87.62 Sr.upf
Mo 95.94 Mo.upf
Ca 40.08 Ca.upf
CELL_PARAMETERS angstrom
3.8792 0.0285 0.0000
-0.0284 3.8791 0.0000
0.0000 0.0000 9.8641
ATOMIC_POSITIONS angstrom
Sr 0.0000 0.0000 9.3106
Sr 0.0000 0.0000 5.4856
Mo 1.9254 1.9538 7.3981
Ca 1.9254 1.9538 2.4660
! M_tot	2.81	μB per formula unit
! density	3.5	g/cm3
! energy above the lowest structure with this stoichiometry	40.5	meV per atom

! SrCaZrMo2 (PBE, relaxed); values from VASP
&SYSTEM
  ibrav = 0, nat = 5, ntyp = 4
/
ATOMIC_SPECIES
Sr 87.62 Sr.upf
Mo 95.94 Mo.upf
Ca 40.08 Ca.upf
Zr 91.22 Zr.upf
CELL_PARAMETERS angstrom
4.8956 0.0000 0.0000
0.0000 5.0900 0.0000
0.0000 0.0000 4.8956
ATOMIC_POSITIONS angstrom
Sr 0.0000 0.0000 0.0000
Mo 0.0000 0.0000 2.4478
Mo 2.4478 0.0000 0.0000
Ca 0.0000 2.5450 0.0000
Zr 2.4478 2.5450 2.4478
! M_tot	0.00	μB per formula unit
! density	5.6	g/cm3

! Ca2TaMo (PBE, relaxed); values from VASP
&SYSTEM
  ibrav = 0, nat = 4, ntyp = 3
/
ATOMIC_SPECIES
Mo 95.94 Mo.upf
Ca 40.08 Ca.upf
Ta 180.95 Ta.upf
CELL_PARAMETERS angstrom
-2.1437 1.8733 -0.3959
-0.9937 -1.5965 -2.1738
-6.0287 -5.4676 6.7715
ATOMIC_POSITIONS angstrom
Mo -3.0759 -1.2285 0.4081
Ca -0.0513 -0.0465 0.0576
Ca -2.9631 -2.6873 3.3282
Ta -6.0902 -3.9623 3.7938
! M_tot	0.00	μB per formula unit
! density	6.8	g/cm3
! energy above the lowest structure with this stoichiometry	518.7	meV per atom

! Ca2TaMo (PBE, relaxed); values from VASP
&SYSTEM
  ibrav = 0, nat = 4, ntyp = 3
/
ATOMIC_SPECIES
Mo 95.94 Mo.upf
Ca 40.08 Ca.upf
Ta 180.95 Ta.upf
CELL_PARAMETERS angstrom
6.0707 0.0008 0.0166
3.3633 5.0539 -0.0166
-4.5438 -2.8506 2.8428
ATOMIC_POSITIONS angstrom
Mo 1.7683 2.3653 1.4131
Ca 0.0902 0.0483 0.0000
Ca 4.6268 2.4790 0.0000
Ta 3.1220 -0.1612 1.4297
! M_tot	0.00	μB per formula unit
! density	6.8	g/cm3
! energy above the lowest structure with this stoichiometry	466.7	meV per atom

! Ca2TaMo (PBE, relaxed); values from VASP
&SYSTEM
  ibrav = 0, nat = 4, ntyp = 3
/
ATOMIC_SPECIES
Mo 95.94 Mo.upf
Ca 40.08 Ca.upf
Ta 180.95 Ta.upf
CELL_PARAMETERS angstrom
-4.6119 0.2691 0.6047
-3.7823 -2.6740 -0.5012
0.2630 -2.6912 7.3594
ATOMIC_POSITIONS angstrom
Mo -4.1675 -2.3543 3.1394
Ca -8.2921 -2.5508 0.5682
Ca -6.2339 -3.6803 5.1182
Ta -1.8974 -1.4637 2.4722
! M_tot	0.00	μB per formula unit
! density	5.3	g/cm3
! energy above the lowest structure with this stoichiometry	279.1	meV per atom

! Ca4TaMo (PBE, relaxed); values from VASP
&SYSTEM
  ibrav = 0, nat = 6, ntyp = 3
/
ATOMIC_SPECIES
Ca 40.08 Ca.upf
Ta 180.95 Ta.upf
Mo 95.94 Mo.upf
CELL_PARAMETERS angstrom
0.0000 4.4213 4.4213
4.4213 0.0000 4.4213
4.4213 4.4213 0.0000
ATOMIC_POSITIONS angstrom
Ca 3.3143 5.5283 5.5283
Ca 5.5283 5.5283 3.3143
Ca 5.5283 3.3143 5.5283
Ca 3.3143 3.3143 3.3143
Ta 0.0000 0.0000 0.0000
Mo 6.6320 6.6320 6.6320
! M_tot	0.46	μB per formula unit
! density	4.2	g/cm3

no.,energy of formation from the pure elements (eV/atom)
1,0.72
2,2.16
3,0.84
4,0.78
5,0.60
6,1.34